--- one ---
Computed, not measured: a geometry-optimized AgSnHg structure at the GGA-PBE level of DFT.

a b c (Å): 4.740 4.740 4.740
angles (deg): 60.00 60.00 60.00
Fractional positions:
Ag  0.000  0.000  0.000
Hg  0.250  0.250  0.250
Sn  0.750  0.750  0.750

- symmetry = F-43m
- volume (Å³/f.u.) = 75.3

--- two ---
Computed, not measured: a geometry-optimized AgSnHg structure at the GGA-PBE level of DFT.

a b c (Å): 6.333 4.460 9.791
angles (deg): 90.00 90.00 90.00
Fractional positions:
Ag  0.619  0.250  0.231
Ag  0.119  0.250  0.269
Ag  0.881  0.750  0.731
Ag  0.381  0.750  0.769
Hg  0.354  0.750  0.124
Hg  0.854  0.750  0.376
Hg  0.146  0.250  0.624
Hg  0.646  0.250  0.876
Sn  0.836  0.750  0.057
Sn  0.336  0.750  0.443
Sn  0.664  0.250  0.557
Sn  0.164  0.250  0.943

- symmetry = Pnma
- volume (Å³/f.u.) = 69.1

Tell me which of them is the least stable. Sure, it is two.

--- one ---
Computed, not measured: a geometry-optimized HoAgMo structure at the GGA-PBE level of DFT.

a b c (Å): 4.681 4.681 4.681
angles (deg): 60.00 60.00 60.00
Fractional positions:
Ag  0.250  0.250  0.250
Ho  0.750  0.750  0.750
Mo  0.000  0.000  0.000

- symmetry = F-43m
- volume (Å³/f.u.) = 72.5

--- two ---
Computed, not measured: a geometry-optimized HoAgMo structure at the GGA-PBE level of DFT.

a b c (Å): 4.701 4.701 4.701
angles (deg): 60.00 60.00 60.00
Fractional positions:
Ag  0.000  0.000  0.000
Ho  0.750  0.750  0.750
Mo  0.500  0.500  0.500

- symmetry = F-43m
- volume (Å³/f.u.) = 73.5

Tell me which of them is the least stable. Sure, it is two.

--- one ---
Computed, not measured: a geometry-optimized HoAgNO structure at the GGA-PBE level of DFT.

a b c (Å): 4.851 4.851 4.514
angles (deg): 90.00 90.00 90.00
Fractional positions:
Ag  0.750  0.750  0.000
Ag  0.250  0.250  0.000
Ho  0.750  0.250  0.500
Ho  0.250  0.750  0.500
N  0.250  0.250  0.500
N  0.750  0.750  0.500
O  0.750  0.250  0.000
O  0.250  0.750  0.000

- symmetry = P4/mmm
- volume (Å³/f.u.) = 53.1

--- two ---
Computed, not measured: a geometry-optimized HoAgNO structure at the GGA-PBE level of DFT.

a b c (Å): 3.837 3.837 7.640
angles (deg): 90.00 90.00 90.00
Fractional positions:
Ag  0.750  0.250  0.500
Ag  0.250  0.750  0.500
Ho  0.250  0.250  0.144
Ho  0.750  0.750  0.856
N  0.750  0.750  0.318
N  0.250  0.250  0.682
O  0.750  0.250  0.000
O  0.250  0.750  0.000

- symmetry = P4/nmm
- volume (Å³/f.u.) = 56.3

--- three ---
Computed, not measured: a geometry-optimized HoAgNO structure at the GGA-PBE level of DFT.

a b c (Å): 4.903 4.914 8.926
angles (deg): 90.00 90.00 90.00
Fractional positions:
Ag  0.050  0.499  0.371
Ag  0.550  0.001  0.371
Ag  0.050  0.999  0.629
Ag  0.550  0.501  0.629
Ho  0.051  0.000  0.140
Ho  0.551  0.500  0.140
Ho  0.051  0.500  0.860
Ho  0.551  0.000  0.860
N  0.551  0.000  0.124
N  0.051  0.500  0.124
N  0.051  0.000  0.876
N  0.551  0.500  0.876
O  0.050  0.999  0.383
O  0.550  0.501  0.383
O  0.050  0.499  0.617
O  0.550  0.001  0.617

- symmetry = Pbcm
- volume (Å³/f.u.) = 53.8

--- four ---
Computed, not measured: a geometry-optimized HoAgNO structure at the GGA-PBE level of DFT.

a b c (Å): 3.894 5.623 6.193
angles (deg): 90.00 90.00 90.00
Fractional positions:
Ag  0.000  0.500  0.349
Ag  0.000  0.000  0.651
Ho  0.500  0.999  0.187
Ho  0.500  0.499  0.813
N  0.000  0.880  0.324
N  0.000  0.380  0.676
O  0.500  0.376  0.137
O  0.500  0.876  0.863

- symmetry = Pmc2_1
- volume (Å³/f.u.) = 67.8

Tell me which of them is the least stable. Sure, it is four.

--- one ---
Computed, not measured: a geometry-optimized Ho2Ag2O5 structure at the GGA-PBE level of DFT.

a b c (Å): 8.550 4.034 4.034
angles (deg): 90.00 90.00 90.00
Fractional positions:
Ag  0.000  0.000  0.000
Ag  0.500  0.000  0.000
Ho  0.248  0.500  0.500
Ho  0.752  0.500  0.500
O  0.158  0.500  0.000
O  0.842  0.500  0.000
O  0.158  0.000  0.500
O  0.842  0.000  0.500
O  0.500  0.500  0.500

- symmetry = P4/mmm
- volume (Å³/f.u.) = 139.1

--- two ---
Computed, not measured: a geometry-optimized Ho2Ag2O5 structure at the GGA-PBE level of DFT.

a b c (Å): 6.963 4.094 4.094
angles (deg): 90.00 90.00 90.00
Fractional positions:
Ag  0.191  0.500  0.500
Ag  0.809  0.500  0.500
Ho  0.000  0.000  0.000
Ho  0.500  0.000  0.000
O  0.213  0.500  0.000
O  0.787  0.500  0.000
O  0.213  0.000  0.500
O  0.787  0.000  0.500
O  0.500  0.500  0.500

- symmetry = P4/mmm
- volume (Å³/f.u.) = 116.7

Tell me which of them is the least stable. Sure, it is two.

--- one ---
Computed, not measured: a geometry-optimized HoAgPbS3 structure at the GGA-PBE level of DFT.

a b c (Å): 8.136 4.160 16.015
angles (deg): 90.00 90.00 90.00
Fractional positions:
Ag  0.876  0.250  0.135
Ag  0.376  0.250  0.365
Ag  0.624  0.750  0.635
Ag  0.124  0.750  0.865
Ho  0.258  0.250  0.037
Ho  0.758  0.250  0.463
Ho  0.242  0.750  0.537
Ho  0.742  0.750  0.963
Pb  0.582  0.750  0.227
Pb  0.082  0.750  0.273
Pb  0.918  0.250  0.727
Pb  0.418  0.250  0.773
S  0.615  0.250  0.052
S  0.036  0.750  0.088
S  0.320  0.250  0.207
S  0.820  0.250  0.293
S  0.536  0.750  0.412
S  0.115  0.250  0.448
S  0.885  0.750  0.552
S  0.464  0.250  0.588
S  0.180  0.750  0.707
S  0.680  0.750  0.793
S  0.964  0.250  0.912
S  0.385  0.750  0.948

- symmetry = Pnma
- volume (Å³/f.u.) = 135.5

--- two ---
Computed, not measured: a geometry-optimized HoAgPbS3 structure at the GGA-PBE level of DFT.

a b c (Å): 13.299 4.058 10.865
angles (deg): 90.00 90.00 90.00
Fractional positions:
Ag  0.980  0.750  0.089
Ag  0.480  0.750  0.411
Ag  0.520  0.250  0.589
Ag  0.020  0.250  0.911
Ho  0.486  0.250  0.162
Ho  0.986  0.250  0.338
Ho  0.014  0.750  0.662
Ho  0.514  0.750  0.838
Pb  0.242  0.750  0.019
Pb  0.742  0.750  0.481
Pb  0.258  0.250  0.519
Pb  0.758  0.250  0.981
S  0.605  0.750  0.063
S  0.106  0.250  0.131
S  0.360  0.750  0.230
S  0.860  0.750  0.270
S  0.606  0.250  0.369
S  0.105  0.750  0.437
S  0.895  0.250  0.563
S  0.394  0.750  0.631
S  0.140  0.250  0.730
S  0.640  0.250  0.770
S  0.894  0.750  0.869
S  0.395  0.250  0.937

- symmetry = Pnma
- volume (Å³/f.u.) = 146.6

Tell me which of them is the least stable. Sure, it is one.

--- one ---
Computed, not measured: a geometry-optimized HoAgPbS3 structure at the GGA-PBE level of DFT.

a b c (Å): 10.373 6.893 6.893
angles (deg): 33.88 90.00 90.00
Fractional positions:
Ag  0.000  0.462  0.462
Ag  0.500  0.538  0.538
Ho  0.250  0.000  0.000
Ho  0.750  0.000  0.000
Pb  0.500  0.251  0.251
Pb  0.000  0.749  0.749
S  0.000  0.086  0.086
S  0.201  0.361  0.361
S  0.799  0.361  0.361
S  0.299  0.639  0.639
S  0.701  0.639  0.639
S  0.500  0.914  0.914

- symmetry = Cmcm
- volume (Å³/f.u.) = 137.4

--- two ---
Computed, not measured: a geometry-optimized HoAgPbS3 structure at the GGA-PBE level of DFT.

a b c (Å): 11.719 4.072 11.878
angles (deg): 90.00 90.00 90.00
Fractional positions:
Ag  0.815  0.500  0.244
Ag  0.315  0.000  0.256
Ag  0.685  0.500  0.744
Ag  0.185  0.000  0.756
Ho  0.667  0.000  0.028
Ho  0.167  0.500  0.472
Ho  0.833  0.000  0.528
Ho  0.333  0.500  0.972
Pb  0.021  0.000  0.162
Pb  0.521  0.500  0.338
Pb  0.479  0.000  0.662
Pb  0.979  0.500  0.838
S  0.838  0.500  0.032
S  0.433  0.000  0.086
S  0.170  0.500  0.244
S  0.670  0.000  0.256
S  0.933  0.500  0.414
S  0.338  0.000  0.468
S  0.662  0.500  0.532
S  0.067  0.000  0.586
S  0.330  0.500  0.744
S  0.830  0.000  0.756
S  0.567  0.500  0.914
S  0.162  0.000  0.968

- symmetry = Pnma
- volume (Å³/f.u.) = 141.7

Tell me which of them is the least stable. Sure, it is two.

--- one ---
Computed, not measured: a geometry-optimized HoAgPbS3 structure at the GGA-PBE level of DFT.

a b c (Å): 7.512 4.000 9.730
angles (deg): 90.00 105.56 90.00
Fractional positions:
Ag  0.599  0.250  0.094
Ag  0.401  0.750  0.906
Ho  0.800  0.750  0.348
Ho  0.200  0.250  0.652
Pb  0.226  0.750  0.198
Pb  0.774  0.250  0.802
S  0.795  0.750  0.052
S  0.553  0.250  0.340
S  0.063  0.250  0.364
S  0.937  0.750  0.636
S  0.447  0.750  0.660
S  0.205  0.250  0.948

- symmetry = P2_1/m
- volume (Å³/f.u.) = 140.8

--- two ---
Computed, not measured: a geometry-optimized HoAgPbS3 structure at the GGA-PBE level of DFT.

a b c (Å): 8.909 8.909 8.383
angles (deg): 103.24 103.24 25.54
Fractional positions:
Ag  0.523  0.523  0.213
Ag  0.477  0.477  0.787
Ho  0.164  0.164  0.086
Ho  0.836  0.836  0.914
Pb  0.866  0.866  0.428
Pb  0.134  0.134  0.572
S  0.000  0.000  0.000
S  0.327  0.327  0.138
S  0.681  0.681  0.317
S  0.500  0.500  0.500
S  0.319  0.319  0.683
S  0.673  0.673  0.862

- symmetry = C2/m
- volume (Å³/f.u.) = 139.4

Tell me which of them is the least stable. Sure, it is one.

--- one ---
Computed, not measured: a geometry-optimized HoAgTe3Pb structure at the GGA-PBE level of DFT.

a b c (Å): 7.727 7.727 11.220
angles (deg): 90.00 90.00 32.55
Fractional positions:
Ag  0.469  0.469  0.250
Ag  0.531  0.531  0.750
Ho  0.000  0.000  0.000
Ho  0.000  0.000  0.500
Pb  0.768  0.768  0.250
Pb  0.232  0.232  0.750
Te  0.355  0.355  0.052
Te  0.093  0.093  0.250
Te  0.355  0.355  0.448
Te  0.645  0.645  0.552
Te  0.907  0.907  0.750
Te  0.645  0.645  0.948

- symmetry = Cmcm
- volume (Å³/f.u.) = 180.2

--- two ---
Computed, not measured: a geometry-optimized HoAgTe3Pb structure at the GGA-PBE level of DFT.

a b c (Å): 12.519 4.507 12.764
angles (deg): 90.00 90.00 90.00
Fractional positions:
Ag  0.737  0.750  0.201
Ag  0.237  0.750  0.299
Ag  0.763  0.250  0.701
Ag  0.263  0.250  0.799
Ho  0.025  0.250  0.188
Ho  0.525  0.250  0.312
Ho  0.475  0.750  0.688
Ho  0.975  0.750  0.812
Pb  0.690  0.250  0.016
Pb  0.190  0.250  0.484
Pb  0.810  0.750  0.516
Pb  0.310  0.750  0.984
Te  0.910  0.750  0.063
Te  0.525  0.750  0.138
Te  0.275  0.250  0.172
Te  0.775  0.250  0.328
Te  0.025  0.750  0.362
Te  0.410  0.750  0.437
Te  0.590  0.250  0.563
Te  0.975  0.250  0.638
Te  0.225  0.750  0.672
Te  0.725  0.750  0.828
Te  0.475  0.250  0.862
Te  0.090  0.250  0.937

- symmetry = Pnma
- volume (Å³/f.u.) = 180.0

--- three ---
Computed, not measured: a geometry-optimized HoAgTe3Pb structure at the GGA-PBE level of DFT.

a b c (Å): 8.326 4.340 10.690
angles (deg): 90.00 106.46 90.00
Fractional positions:
Ag  0.584  0.250  0.092
Ag  0.416  0.750  0.908
Ho  0.802  0.750  0.331
Ho  0.198  0.250  0.669
Pb  0.237  0.750  0.203
Pb  0.763  0.250  0.797
Te  0.788  0.750  0.040
Te  0.549  0.250  0.345
Te  0.075  0.250  0.367
Te  0.925  0.750  0.633
Te  0.451  0.750  0.655
Te  0.212  0.250  0.960

- symmetry = P2_1/m
- volume (Å³/f.u.) = 185.2

Tell me which of them is the least stable. Sure, it is two.